No. 1
An optimized crystal structure of Ce2TlRuAu, computed with PBE.

Lattice parameters (Å, degrees): 5.1863 7.9703 7.9775 130.26 90.00 90.00
With the nearest neighbours (Å) after each atom.
Atoms (fractional coordinates):
Ru 0.2500 0.9368 0.8562  1 Ce 2.29
Ce 0.7500 0.7718 0.1367  1 Ru 2.29
Ru 0.7500 0.0632 0.1438  1 Ce 2.29
Tl 0.2500 0.7226 0.3678  1 Ru 3.08, 2 Au 3.17, 6 Ce 3.35-3.42
Au 0.2500 0.5778 0.8311  1 Ru 2.74, 2 Ce 2.96-3.03
Tl 0.7500 0.2774 0.6322  1 Ru 3.08, 2 Au 3.17, 6 Ce 3.35-3.42
Ce 0.2500 0.2282 0.8633  1 Ru 2.29
Ce 0.2500 0.2476 0.3336  3 Ru 2.88-2.91, 1 Au 3.03
Au 0.7500 0.4222 0.1689  1 Ru 2.74, 2 Ce 2.96-3.03
Ce 0.7500 0.7524 0.6664  3 Ru 2.88-2.91, 1 Au 3.03

formation enthalpy at 0 K = -0.381 eV/atom



No. 2
An optimized crystal structure of CeTmRuAu, computed with PBE.

Lattice parameters (Å, degrees): 4.9785 4.9785 4.9785 60.00 60.00 60.00
With the nearest neighbours (Å) after each atom.
Atoms (fractional coordinates):
Au 0.2500 0.2500 0.2500  4 Ce 3.05, 4 Tm 3.05
Ce 0.5000 0.5000 0.5000  4 Ru 3.05, 4 Au 3.05
Tm 0.0000 0.0000 0.0000  4 Ru 3.05, 4 Au 3.05
Ru 0.7500 0.7500 0.7500  4 Ce 3.05, 4 Tm 3.05

formation enthalpy at 0 K = -0.496 eV/atom



Taking the records one at a time from the top gives uncorrected energy values of -57.38; -24.94 eV for the cell shown.